An optimized crystal structure of ScHgRu3. Source: Alexandria, functional GGA-PBE.

Lattice parameters (Å, degrees): 4.6607 4.6607 4.6607 90.00 90.00 90.00
Positions (direct):
Sc 0.0000 0.0000 0.0000
Hg 0.5000 0.5000 0.5000
Ru 0.0000 0.0000 0.5000
Ru 0.0000 0.5000 0.0000
Ru 0.5000 0.0000 0.0000

Properties
Volume = 101 Å³/cell
Energy relative to the lowest polymorph listed for this composition = 0.000 eV per atom
Calculated total energy = -5.4753 eV per atom
E_form = 1.4169 eV per atom
Theoretical density = 9.00 Mg/m³
Total moment = 3.74 μB/f.u.